Entry 1:
DFT (PBE) results for an optimized crystal structure of Ba2CaSe2Br2.

Summary:
Size of the total moment, μB/f.u.: 0.00
Symmetry: I4/mmm, No. 139
Uncorrected formation energy, eV/atom: -1.998

Cell lengths 9.142, 9.142, 9.142 Å; angles 144.53, 144.53, 51.04 degrees
Positions (direct):
1 Ba 0.119 0.119 0.000
2 Ba 0.881 0.881 0.000
3 Ca 0.500 0.500 0.000
4 Se 0.000 0.500 0.500
5 Se 0.500 0.000 0.500
6 Br 0.315 0.315 0.000
7 Br 0.685 0.685 0.000

Entry 2:
DFT (PBE) results for an optimized crystal structure of Ba2CaSiBr.

Summary:
Size of the total moment, μB/f.u.: 0.49
Symmetry: P4/mmm, No. 123
Uncorrected formation energy, eV/atom: 0.235

Cell lengths 6.885, 6.885, 5.210 Å; angles 90.00, 90.00, 90.00 degrees
Positions (direct):
1 Ba 0.000 0.500 0.000
2 Ba 0.500 0.000 0.000
3 Ca 0.000 0.000 0.000
4 Si 0.500 0.500 0.500
5 Br 0.000 0.000 0.500

Entry 3:
DFT (PBE) results for an optimized crystal structure of BaCa2SnBr8.

Summary:
Size of the total moment, μB/f.u.: 0.00
Symmetry: P2/m, No. 10
Uncorrected formation energy, eV/atom: -1.727

Cell lengths 6.893, 9.105, 7.173 Å; angles 90.00, 90.23, 90.00 degrees
Positions (direct):
1 Ba 0.000 0.000 0.000
2 Ca 0.500 0.256 0.500
3 Ca 0.500 0.744 0.500
4 Sn 0.000 0.500 0.000
5 Br 0.250 0.266 0.169
6 Br 0.250 0.734 0.169
7 Br 0.271 0.500 0.659
8 Br 0.280 0.000 0.639
9 Br 0.720 0.000 0.361
10 Br 0.729 0.500 0.341
11 Br 0.750 0.266 0.831
12 Br 0.750 0.734 0.831

Entry 4:
DFT (PBE) results for an optimized crystal structure of BaCaSn2Br.

Summary:
Size of the total moment, μB/f.u.: 0.00
Symmetry: P4/mmm, No. 123
Uncorrected formation energy, eV/atom: 0.630

Cell lengths 6.126, 6.126, 7.247 Å; angles 90.00, 90.00, 90.00 degrees
Positions (direct):
1 Ba 0.000 0.000 0.000
2 Ca 0.000 0.000 0.500
3 Sn 0.000 0.500 0.000
4 Sn 0.500 0.000 0.000
5 Br 0.500 0.500 0.500

Entry 5:
DFT (PBE) results for an optimized crystal structure of Ba2SrCaBr.

Summary:
Size of the total moment, μB/f.u.: 0.65
ΔE to the lowest computed polymorph, eV per atom: 0.007
Symmetry: P4/mmm, No. 123
Uncorrected formation energy, eV/atom: -0.491

Cell lengths 6.526, 6.526, 6.089 Å; angles 90.00, 90.00, 90.00 degrees
Positions (direct):
1 Ba 0.000 0.500 0.000
2 Ba 0.500 0.000 0.000
3 Sr 0.000 0.000 0.500
4 Ca 0.500 0.500 0.500
5 Br 0.000 0.000 0.000

Entry 6:
DFT (PBE) results for an optimized crystal structure of Ba2SrCaBr.

Summary:
Size of the total moment, μB/f.u.: 0.89
ΔE to the lowest computed polymorph, eV per atom: 0.000
Symmetry: P4/mmm, No. 123
Uncorrected formation energy, eV/atom: -0.498

Cell lengths 6.661, 6.661, 5.778 Å; angles 90.00, 90.00, 90.00 degrees
Positions (direct):
1 Ba 0.000 0.500 0.000
2 Ba 0.500 0.000 0.000
3 Sr 0.000 0.000 0.500
4 Ca 0.500 0.500 0.500
5 Br 0.500 0.500 0.000

Entry 7:
DFT (PBE) results for an optimized crystal structure of BaCaTiBr2.

Summary:
Size of the total moment, μB/f.u.: 3.70
Symmetry: P4/mmm, No. 123
Uncorrected formation energy, eV/atom: -0.188

Cell lengths 5.434, 5.434, 11.261 Å; angles 90.00, 90.00, 90.00 degrees
Positions (direct):
1 Ba 0.000 0.000 0.000
2 Ca 0.000 0.000 0.500
3 Ti 0.500 0.500 0.000
4 Br 0.000 0.500 0.500
5 Br 0.500 0.000 0.500

Entry 8:
DFT (PBE) results for an optimized crystal structure of BaCaTl2Br6.

Summary:
Size of the total moment, μB/f.u.: 0.00
Symmetry: P2_1/c, No. 14
Uncorrected formation energy, eV/atom: -1.600

Cell lengths 7.876, 8.473, 13.890 Å; angles 90.00, 124.31, 90.00 degrees
Positions (direct):
1 Ba 0.000 0.000 0.000
2 Ba 0.000 0.500 0.500
3 Ca 0.500 0.000 0.500
4 Ca 0.500 0.500 0.000
5 Tl 0.217 0.077 0.745
6 Tl 0.217 0.423 0.245
7 Tl 0.783 0.577 0.755
8 Tl 0.783 0.923 0.255
9 Br 0.138 0.179 0.440
10 Br 0.138 0.321 0.940
11 Br 0.257 0.708 0.428
12 Br 0.257 0.792 0.928
13 Br 0.398 0.051 0.264
14 Br 0.398 0.449 0.764
15 Br 0.602 0.551 0.236
16 Br 0.602 0.949 0.736
17 Br 0.743 0.208 0.072
18 Br 0.743 0.292 0.572
19 Br 0.862 0.679 0.060
20 Br 0.862 0.821 0.560

Entry 9:
DFT (PBE) results for an optimized crystal structure of BaCaZn2Br8.

Summary:
Size of the total moment, μB/f.u.: 0.00
Symmetry: P-3, No. 147
Uncorrected formation energy, eV/atom: -1.438

Cell lengths 6.841, 6.841, 9.855 Å; angles 90.00, 90.00, 120.00 degrees
Positions (direct):
1 Ba 0.000 0.000 0.000
2 Ca 0.000 0.000 0.500
3 Zn 0.333 0.667 0.758
4 Zn 0.667 0.333 0.242
5 Br 0.004 0.684 0.305
6 Br 0.316 0.319 0.305
7 Br 0.319 0.004 0.695
8 Br 0.333 0.667 0.003
9 Br 0.667 0.333 0.997
10 Br 0.681 0.996 0.305
11 Br 0.684 0.681 0.695
12 Br 0.996 0.316 0.695

Entry 10:
DFT (PBE) results for an optimized crystal structure of BaCa2ZnBr8.

Summary:
Size of the total moment, μB/f.u.: 0.00
Symmetry: P2/m, No. 10
Uncorrected formation energy, eV/atom: -1.697

Cell lengths 6.698, 8.900, 6.974 Å; angles 90.00, 92.04, 90.00 degrees
Positions (direct):
1 Ba 0.000 0.000 0.000
2 Ca 0.500 0.268 0.500
3 Ca 0.500 0.732 0.500
4 Zn 0.000 0.500 0.000
5 Br 0.230 0.294 0.156
6 Br 0.230 0.706 0.156
7 Br 0.257 0.500 0.670
8 Br 0.283 0.000 0.637
9 Br 0.717 0.000 0.363
10 Br 0.743 0.500 0.330
11 Br 0.770 0.294 0.844
12 Br 0.770 0.706 0.844

Entry 11:
DFT (PBE) results for an optimized crystal structure of BaCd2Br.

Summary:
Size of the total moment, μB/f.u.: 0.00
ΔE to the lowest computed polymorph, eV per atom: 0.371
Symmetry: R-3m, No. 166
Uncorrected formation energy, eV/atom: -0.369

Cell lengths 9.485, 9.485, 9.485 Å; angles 26.53, 26.53, 26.53 degrees
Positions (direct):
1 Ba 0.000 0.000 0.000
2 Cd 0.239 0.239 0.239
3 Cd 0.761 0.761 0.761
4 Br 0.500 0.500 0.500

Entry 12:
DFT (PBE) results for an optimized crystal structure of BaCd3Br.

Summary:
Size of the total moment, μB/f.u.: 0.00
ΔE to the lowest computed polymorph, eV per atom: 0.188
Symmetry: Pm-3m, No. 221
Uncorrected formation energy, eV/atom: 0.222

Cell lengths 6.910, 6.910, 6.910 Å; angles 90.00, 90.00, 90.00 degrees
Positions (direct):
1 Ba 0.000 0.000 0.000
2 Cd 0.000 0.000 0.500
3 Cd 0.000 0.500 0.000
4 Cd 0.500 0.000 0.000
5 Br 0.500 0.500 0.500

- What is the formula in the eleventh record?
  BaCd2Br

- What is the uncorrected formation energy in the third record?
  -1.727 eV/atom

- Which of these has the lowest uncorrected formation energy?
  Ba2CaSe2Br2